No. 1
The following is a PBE calculation of a relaxed Mg2HW crystal, from the Alexandria database.

The structure in POSCAR format:
```
Mg2HW
1.0
5.543 0.000 0.000
0.000 5.543 0.000
2.772 2.772 3.755
H Mg W
2 4 2
Cartesian
2.772 2.772 0.000 H
2.772 5.543 1.877 H
3.224 1.386 0.939 Mg
2.319 4.157 0.939 Mg
4.157 5.091 2.816 Mg
6.929 5.996 2.816 Mg
0.000 0.000 0.000 W
5.543 2.772 1.877 W
```

Values from the calculation:
**Calculated total energy**: -33.1 eV/cell
**Fermi-level density of states**: 0.8 states/eV/cell
**Magnetic moment**: 0.000 μB per cell
**SG**: I-42d

No. 2
The following is a PBE calculation of a relaxed Cs5Nd2Cl12 crystal, from the Alexandria database.

The structure in POSCAR format:
```
Cs5Nd2Cl12
1.0
8.367 -0.118 1.636
1.047 9.065 3.914
-0.247 0.489 9.914
Cs Nd Cl
5 2 12
Cartesian
0.414 2.345 3.441 Cs
4.623 3.413 5.875 Cs
4.184 -0.059 0.818 Cs
4.543 6.024 9.589 Cs
8.752 7.091 12.024 Cs
0.696 6.738 5.542 Nd
0.104 2.816 8.286 Nd
7.438 0.483 2.295 Cl
1.871 1.570 6.523 Cl
2.412 5.156 4.014 Cl
6.473 1.249 8.603 Cl
7.230 6.265 5.094 Cl
7.371 4.343 7.798 Cl
1.796 5.093 7.667 Cl
2.694 8.187 6.861 Cl
1.936 3.171 10.371 Cl
7.296 7.866 8.941 Cl
6.755 4.280 11.450 Cl
1.729 8.953 13.169 Cl
```

Values from the calculation:
**Formation energy from raw total energies**: -1.97 eV/atom
**Magnetic moment**: 0.972 μB per cell
**SG**: C2/m

No. 3
The following is a PBE calculation of a relaxed NaLiU2S5 crystal, from the Alexandria database.

The structure in POSCAR format:
```
NaLiU2S5
1.0
-4.027 1.209 -6.180
3.939 -5.239 -3.592
-4.505 -2.793 6.910
Na Li U S
2 2 4 10
Cartesian
-2.275 -2.404 1.012 Na
-2.319 -4.419 -3.873 Na
-0.305 -5.024 -0.784 Li
-4.288 -1.799 -2.078 Li
0.694 -1.587 -2.210 U
-2.028 -0.041 -4.655 U
1.939 -3.989 -5.116 U
-0.782 -2.444 -7.561 U
-3.186 -2.016 -6.009 S
-5.408 -2.395 -0.115 S
-1.407 -4.807 3.147 S
-4.188 -1.944 3.698 S
-2.628 -5.258 -0.666 S
-0.406 -4.879 -6.560 S
-1.966 -1.565 -2.195 S
0.814 -4.428 -2.746 S
-0.044 -2.015 -4.886 S
0.000 0.000 0.000 S
```

Values from the calculation:
**Formation energy from raw total energies**: -1.34 eV/atom
**Fermi-level density of states**: 16.1 states/eV/cell
**Magnetic moment**: 8.001 μB per cell
**SG**: I4/mcm